No. 1
Density functional theory data (GGA-PBE) for Pm12Pr2Tm5 after structural relaxation.

Cell: 9.2374 9.2374 8.9015 Å, 99.85 99.85 60.79°
With the nearest neighbours (Å) after each atom.
Fractional positions:
Pm1 0.0200 0.0200 0.1716  3 Pm 3.00-3.32
Pm2 0.0781 0.5792 0.7747  3 Pm 3.32-3.44, 4 Tm 3.48-3.66
Pm3 0.1903 0.5712 0.1981  1 Pr 3.22, 2 Tm 3.35-3.38, 2 Pm 3.44-3.56
Pm4 0.4200 0.4200 0.5834  3 Pm 3.19-3.39, 2 Pr 3.43
Pm5 0.4208 0.9219 0.2253  3 Pm 3.32-3.44, 4 Tm 3.48-3.66
Pm6 0.4288 0.8097 0.8019  1 Pr 3.22, 2 Tm 3.35-3.38, 2 Pm 3.44-3.56
Pm7 0.5712 0.1903 0.1981  1 Pr 3.22, 2 Tm 3.35-3.38, 2 Pm 3.44-3.56
Pm8 0.5792 0.0781 0.7747  3 Pm 3.32-3.44, 4 Tm 3.48-3.66
Pm9 0.5800 0.5800 0.4166  3 Pm 3.19-3.39, 2 Pr 3.43
Pm10 0.8097 0.4288 0.8019  1 Pr 3.22, 2 Tm 3.35-3.38, 2 Pm 3.44-3.56
Pm11 0.9219 0.4208 0.2253  3 Pm 3.32-3.44, 4 Tm 3.48-3.66
Pm12 0.9800 0.9800 0.8284  3 Pm 3.00-3.32
Pr1 0.1758 0.8242 0.5000  6 Pm 3.22-3.43, 1 Pr 3.29, 2 Tm 3.42
Pr2 0.8242 0.1758 0.5000  6 Pm 3.22-3.43, 1 Pr 3.29, 2 Tm 3.42
Tm1 0.1920 0.1920 0.5478  2 Pr 3.42, 1 Tm 3.44, 5 Pm 3.54-3.66
Tm2 0.2135 0.2135 0.9400  9 Pm 3.38-3.66, 1 Tm 3.44
Tm3 0.5000 0.5000 0.0000  6 Pm 3.35-3.67
Tm4 0.7865 0.7865 0.0600  9 Pm 3.38-3.66, 1 Tm 3.44
Tm5 0.8080 0.8080 0.4522  2 Pr 3.42, 1 Tm 3.44, 5 Pm 3.54-3.66

Magnetization, μB per cell: 0.00
DFT formation energy, meV per atom: 200
Polymorph energy (0 for the lowest one), meV per atom: 100

No. 2
Density functional theory data (GGA-PBE) for Pm4PrTm10 after structural relaxation.

Cell: 9.6618 9.6618 9.6618 Å, 96.35 96.35 141.15°
With the nearest neighbours (Å) after each atom.
Fractional positions:
Pm1 0.0679 0.8273 0.8952  6 Tm 3.36-3.50, 2 Pm 3.38
Pm2 0.1727 0.0679 0.2406  6 Tm 3.36-3.50, 2 Pm 3.38
Pm3 0.8273 0.9321 0.7594  6 Tm 3.36-3.50, 2 Pm 3.38
Pm4 0.9321 0.1727 0.1048  6 Tm 3.36-3.50, 2 Pm 3.38
Pr1 0.5000 0.5000 0.0000  8 Pm 4.00, 8 Tm 4.43
Tm1 0.0429 0.6198 0.1632  4 Tm 3.15-3.29, 3 Pm 3.36-3.50
Tm2 0.1203 0.9571 0.5769  4 Tm 3.15-3.29, 3 Pm 3.36-3.50
Tm3 0.2500 0.7500 0.5000  6 Tm 3.15-3.21
Tm4 0.3802 0.5434 0.4231  4 Tm 3.15-3.29, 3 Pm 3.36-3.50
Tm5 0.4566 0.8797 0.8368  4 Tm 3.15-3.29, 3 Pm 3.36-3.50
Tm6 0.5434 0.1203 0.1632  4 Tm 3.15-3.29, 3 Pm 3.36-3.50
Tm7 0.6198 0.4566 0.5769  4 Tm 3.15-3.29, 3 Pm 3.36-3.50
Tm8 0.7500 0.2500 0.5000  6 Tm 3.15-3.21
Tm9 0.8797 0.0429 0.4231  4 Tm 3.15-3.29, 3 Pm 3.36-3.50
Tm10 0.9571 0.3802 0.8368  4 Tm 3.15-3.29, 3 Pm 3.36-3.50

Magnetization, μB per cell: 0.00
DFT formation energy, meV per atom: 565

No. 3
Density functional theory data (GGA-PBE) for PmPrTm after structural relaxation.

Cell: 4.9080 4.9080 8.7410 Å, 90.00 90.00 90.00°
With the nearest neighbours (Å) after each atom.
Fractional positions:
Pm1 0.2500 0.7500 0.0000  4 Pm 3.47, 4 Tm 3.57, 4 Pr 3.63
Pm2 0.7500 0.2500 0.0000  4 Pm 3.47, 4 Tm 3.57, 4 Pr 3.63
Pr1 0.2500 0.2500 0.3060  5 Tm 3.47, 4 Pm 3.63
Pr2 0.7500 0.7500 0.6940  5 Tm 3.47, 4 Pm 3.63
Tm1 0.2500 0.2500 0.7030  5 Pr 3.47, 4 Pm 3.57
Tm2 0.7500 0.7500 0.2970  5 Pr 3.47, 4 Pm 3.57

Magnetization, μB per cell: 0.00
DFT formation energy, meV per atom: 224
Polymorph energy (0 for the lowest one), meV per atom: 201

No. 4
Density functional theory data (GGA-PBE) for PmPr6Tm2 after structural relaxation.

Cell: 12.1711 12.1711 5.7999 Å, 103.77 103.77 48.44°
With the nearest neighbours (Å) after each atom.
Fractional positions:
Pm1 0.2497 0.7503 0.7500  14 Pr 3.65-3.83
Pm2 0.7503 0.2497 0.2500  14 Pr 3.65-3.83
Pr1 0.0026 0.1691 0.8326  4 Pr 3.34-3.68, 1 Tm 3.52
Pr2 0.0793 0.5800 0.5796  7 Pr 3.41-3.82, 1 Pm 3.65, 6 Tm 3.74-3.76
Pr3 0.1691 0.0026 0.3326  4 Pr 3.34-3.68, 1 Tm 3.52
Pr4 0.3316 0.4968 0.1619  4 Pr 3.34-3.68, 1 Tm 3.52
Pr5 0.4200 0.9207 0.9204  7 Pr 3.41-3.82, 1 Pm 3.65, 6 Tm 3.74-3.76
Pr6 0.4968 0.3316 0.6619  4 Pr 3.34-3.68, 1 Tm 3.52
Pr7 0.5032 0.6684 0.3381  4 Pr 3.34-3.68, 1 Tm 3.52
Pr8 0.5800 0.0793 0.0796  7 Pr 3.41-3.82, 1 Pm 3.65, 6 Tm 3.74-3.76
Pr9 0.6684 0.5032 0.8381  4 Pr 3.34-3.68, 1 Tm 3.52
Pr10 0.8309 0.9974 0.6674  4 Pr 3.34-3.68, 1 Tm 3.52
Pr11 0.9207 0.4200 0.4204  7 Pr 3.41-3.82, 1 Pm 3.65, 6 Tm 3.74-3.76
Pr12 0.9974 0.8309 0.1674  4 Pr 3.34-3.68, 1 Tm 3.52
Tm1 0.1671 0.3332 0.0018  3 Tm 3.33-3.34, 2 Pr 3.52
Tm2 0.3332 0.1671 0.5018  3 Tm 3.33-3.34, 2 Pr 3.52
Tm3 0.6668 0.8329 0.4982  3 Tm 3.33-3.34, 2 Pr 3.52
Tm4 0.8329 0.6668 0.9982  3 Tm 3.33-3.34, 2 Pr 3.52

Magnetization, μB per cell: 0.00
DFT formation energy, meV per atom: 58
Polymorph energy (0 for the lowest one), meV per atom: 42

No. 5
Density functional theory data (GGA-PBE) for PmPr4Tm5 after structural relaxation.

Cell: 3.6193 3.6193 25.0409 Å, 90.00 90.00 90.00°
With the nearest neighbours (Å) after each atom.
Fractional positions:
Pm1 0.0000 0.0000 0.0000  8 Tm 3.56, 4 Pm 3.62
Pr1 0.0000 0.0000 0.1994  8 Tm 3.58-3.59, 4 Pr 3.62
Pr2 0.0000 0.0000 0.3998  8 Tm 3.58-3.59, 4 Pr 3.62
Pr3 0.0000 0.0000 0.6002  8 Tm 3.58-3.59, 4 Pr 3.62
Pr4 0.0000 0.0000 0.8006  8 Tm 3.58-3.59, 4 Pr 3.62
Tm1 0.5000 0.5000 0.0987  4 Pm 3.56, 4 Pr 3.59, 4 Tm 3.62
Tm2 0.5000 0.5000 0.2995  8 Pr 3.58-3.59, 4 Tm 3.62
Tm3 0.5000 0.5000 0.5000  8 Pr 3.58, 4 Tm 3.62
Tm4 0.5000 0.5000 0.7005  8 Pr 3.58-3.59, 4 Tm 3.62
Tm5 0.5000 0.5000 0.9013  4 Pm 3.56, 4 Pr 3.59, 4 Tm 3.62

Magnetization, μB per cell: 0.00
DFT formation energy, meV per atom: 21
Polymorph energy (0 for the lowest one), meV per atom: 0

No. 6
Density functional theory data (GGA-PBE) for PmPrTm after structural relaxation.

Cell: 3.5512 5.2950 10.7917 Å, 90.00 98.79 90.00°
With the nearest neighbours (Å) after each atom.
Fractional positions:
Pm1 0.1412 0.2500 0.2533  5 Tm 3.50-3.65, 2 Pm 3.55, 4 Pr 3.60-3.62
Pm2 0.8588 0.7500 0.7467  5 Tm 3.50-3.65, 2 Pm 3.55, 4 Pr 3.60-3.62
Pr1 0.4289 0.2500 0.9057  4 Pr 3.33-3.55, 1 Tm 3.46, 4 Pm 3.60-3.62
Pr2 0.5711 0.7500 0.0943  4 Pr 3.33-3.55, 1 Tm 3.46, 4 Pm 3.60-3.62
Tm1 0.2833 0.2500 0.5811  1 Pr 3.46, 5 Pm 3.50-3.65, 6 Tm 3.55-3.64
Tm2 0.7167 0.7500 0.4189  1 Pr 3.46, 5 Pm 3.50-3.65, 6 Tm 3.55-3.64

Magnetization, μB per cell: 0.00
DFT formation energy, meV per atom: 71
Polymorph energy (0 for the lowest one), meV per atom: 48

Repeat the third record exactly.
Density functional theory data (GGA-PBE) for PmPrTm after structural relaxation.

Cell: 4.9080 4.9080 8.7410 Å, 90.00 90.00 90.00°
With the nearest neighbours (Å) after each atom.
Fractional positions:
Pm1 0.2500 0.7500 0.0000  4 Pm 3.47, 4 Tm 3.57, 4 Pr 3.63
Pm2 0.7500 0.2500 0.0000  4 Pm 3.47, 4 Tm 3.57, 4 Pr 3.63
Pr1 0.2500 0.2500 0.3060  5 Tm 3.47, 4 Pm 3.63
Pr2 0.7500 0.7500 0.6940  5 Tm 3.47, 4 Pm 3.63
Tm1 0.2500 0.2500 0.7030  5 Pr 3.47, 4 Pm 3.57
Tm2 0.7500 0.7500 0.2970  5 Pr 3.47, 4 Pm 3.57

Magnetization, μB per cell: 0.00
DFT formation energy, meV per atom: 224
Polymorph energy (0 for the lowest one), meV per atom: 201

Copy entry 5 word for word.
Density functional theory data (GGA-PBE) for PmPr4Tm5 after structural relaxation.

Cell: 3.6193 3.6193 25.0409 Å, 90.00 90.00 90.00°
With the nearest neighbours (Å) after each atom.
Fractional positions:
Pm1 0.0000 0.0000 0.0000  8 Tm 3.56, 4 Pm 3.62
Pr1 0.0000 0.0000 0.1994  8 Tm 3.58-3.59, 4 Pr 3.62
Pr2 0.0000 0.0000 0.3998  8 Tm 3.58-3.59, 4 Pr 3.62
Pr3 0.0000 0.0000 0.6002  8 Tm 3.58-3.59, 4 Pr 3.62
Pr4 0.0000 0.0000 0.8006  8 Tm 3.58-3.59, 4 Pr 3.62
Tm1 0.5000 0.5000 0.0987  4 Pm 3.56, 4 Pr 3.59, 4 Tm 3.62
Tm2 0.5000 0.5000 0.2995  8 Pr 3.58-3.59, 4 Tm 3.62
Tm3 0.5000 0.5000 0.5000  8 Pr 3.58, 4 Tm 3.62
Tm4 0.5000 0.5000 0.7005  8 Pr 3.58-3.59, 4 Tm 3.62
Tm5 0.5000 0.5000 0.9013  4 Pm 3.56, 4 Pr 3.59, 4 Tm 3.62

Magnetization, μB per cell: 0.00
DFT formation energy, meV per atom: 21
Polymorph energy (0 for the lowest one), meV per atom: 0

Please write out number 4 again, unchanged.
Density functional theory data (GGA-PBE) for PmPr6Tm2 after structural relaxation.

Cell: 12.1711 12.1711 5.7999 Å, 103.77 103.77 48.44°
With the nearest neighbours (Å) after each atom.
Fractional positions:
Pm1 0.2497 0.7503 0.7500  14 Pr 3.65-3.83
Pm2 0.7503 0.2497 0.2500  14 Pr 3.65-3.83
Pr1 0.0026 0.1691 0.8326  4 Pr 3.34-3.68, 1 Tm 3.52
Pr2 0.0793 0.5800 0.5796  7 Pr 3.41-3.82, 1 Pm 3.65, 6 Tm 3.74-3.76
Pr3 0.1691 0.0026 0.3326  4 Pr 3.34-3.68, 1 Tm 3.52
Pr4 0.3316 0.4968 0.1619  4 Pr 3.34-3.68, 1 Tm 3.52
Pr5 0.4200 0.9207 0.9204  7 Pr 3.41-3.82, 1 Pm 3.65, 6 Tm 3.74-3.76
Pr6 0.4968 0.3316 0.6619  4 Pr 3.34-3.68, 1 Tm 3.52
Pr7 0.5032 0.6684 0.3381  4 Pr 3.34-3.68, 1 Tm 3.52
Pr8 0.5800 0.0793 0.0796  7 Pr 3.41-3.82, 1 Pm 3.65, 6 Tm 3.74-3.76
Pr9 0.6684 0.5032 0.8381  4 Pr 3.34-3.68, 1 Tm 3.52
Pr10 0.8309 0.9974 0.6674  4 Pr 3.34-3.68, 1 Tm 3.52
Pr11 0.9207 0.4200 0.4204  7 Pr 3.41-3.82, 1 Pm 3.65, 6 Tm 3.74-3.76
Pr12 0.9974 0.8309 0.1674  4 Pr 3.34-3.68, 1 Tm 3.52
Tm1 0.1671 0.3332 0.0018  3 Tm 3.33-3.34, 2 Pr 3.52
Tm2 0.3332 0.1671 0.5018  3 Tm 3.33-3.34, 2 Pr 3.52
Tm3 0.6668 0.8329 0.4982  3 Tm 3.33-3.34, 2 Pr 3.52
Tm4 0.8329 0.6668 0.9982  3 Tm 3.33-3.34, 2 Pr 3.52

Magnetization, μB per cell: 0.00
DFT formation energy, meV per atom: 58
Polymorph energy (0 for the lowest one), meV per atom: 42